The following is a PBE-GGA calculation of a relaxed structure of Ag2Rh2F7, from Alexandria via LeMat-Bulk.

Space-group type   C2/m, No. 12
M_tot   3.032 μB per formula unit
Calculated total energy   -4.15 eV/atom
ΔE_f (raw)   -1171 kJ/mol of formula units

Geometry as POSCAR:
```
Ag2Rh2F7
1.0
4.295 -3.346 0.000
4.295 3.346 0.000
-0.533 0.000 6.055
Ag Rh F
2 2 7
Direct
0.211 0.789 0.000
0.789 0.211 0.000
0.187 0.187 0.326
0.813 0.813 0.674
0.000 0.000 0.500
0.107 0.523 0.695
0.371 0.371 0.158
0.477 0.893 0.305
0.523 0.107 0.695
0.629 0.629 0.842
0.893 0.477 0.305
```